## K3Ca2RhO6 (PBE)

Data for a geometry-optimized K3Ca2RhO6 structure.

Cell: 5.8584 10.1416 6.4293 Å, 90.00 107.79 90.00°
Space group C2/m (No. 12)
One atom of each set of equivalent atoms:
K: 0.0000 0.0000 0.0000
K: 0.0000 0.3334 0.0000
Ca: 0.0000 0.1667 0.5000
Rh: 0.0000 0.5000 0.5000
O: 0.2085 0.3538 0.6862
O: 0.2295 0.5000 0.3143

Properties
As for the uncorrected formation energy: -1.724 eV/atom. Its spin magnetization is 0.167 μB/atom.

=====

## KCa2Rh3O8 (PBE)

Data for a geometry-optimized KCa2Rh3O8 structure.

Cell: 6.4653 6.4653 16.2639 Å, 90.00 90.00 120.00°
Space group R3m (No. 160, hexagonal axes)
One atom of each set of equivalent atoms:
K: 0.0000 0.0000 0.0000
Ca: 0.0000 0.0000 0.2429
Ca: 0.0000 0.0000 0.6281
Rh: 0.1688 0.3376 0.4601
O: 0.0000 0.0000 0.3952
O: 0.0000 0.0000 0.8524
O: 0.0476 0.5238 0.3996
O: 0.1858 0.3717 0.1935

Properties
As for the uncorrected formation energy: -1.456 eV/atom. Its spin magnetization is 0.000 μB/atom.

=====

## K2Ca2RhO6 (PBE)

Data for a geometry-optimized K2Ca2RhO6 structure.

Cell: 5.8476 9.8451 6.5416 Å, 90.00 106.59 90.00°
Space group C2/m (No. 12)
One atom of each set of equivalent atoms:
K: 0.0000 0.1674 0.0000
Ca: 0.0000 0.3365 0.5000
Rh: 0.0000 0.0000 0.5000
O: 0.1989 0.1458 0.6765
O: 0.2233 0.0000 0.3206

Properties
As for the uncorrected formation energy: -1.689 eV/atom. Its spin magnetization is 0.272 μB/atom.

=====

Copy entry 2 word for word.
## KCa2Rh3O8 (PBE)

Data for a geometry-optimized KCa2Rh3O8 structure.

Cell: 6.4653 6.4653 16.2639 Å, 90.00 90.00 120.00°
Space group R3m (No. 160, hexagonal axes)
One atom of each set of equivalent atoms:
K: 0.0000 0.0000 0.0000
Ca: 0.0000 0.0000 0.2429
Ca: 0.0000 0.0000 0.6281
Rh: 0.1688 0.3376 0.4601
O: 0.0000 0.0000 0.3952
O: 0.0000 0.0000 0.8524
O: 0.0476 0.5238 0.3996
O: 0.1858 0.3717 0.1935

Properties
As for the uncorrected formation energy: -1.456 eV/atom. Its spin magnetization is 0.000 μB/atom.

=====

Repeat the first record exactly.
## K3Ca2RhO6 (PBE)

Data for a geometry-optimized K3Ca2RhO6 structure.

Cell: 5.8584 10.1416 6.4293 Å, 90.00 107.79 90.00°
Space group C2/m (No. 12)
One atom of each set of equivalent atoms:
K: 0.0000 0.0000 0.0000
K: 0.0000 0.3334 0.0000
Ca: 0.0000 0.1667 0.5000
Rh: 0.0000 0.5000 0.5000
O: 0.2085 0.3538 0.6862
O: 0.2295 0.5000 0.3143

Properties
As for the uncorrected formation energy: -1.724 eV/atom. Its spin magnetization is 0.167 μB/atom.

=====

> Number 2 is which compound?

KCa2Rh3O8